Entry A
# SrHo2In

A relaxed structure of SrHo2In (GGA-PBE, Alexandria).

Summary:
**M_tot**: 0.05 μB/atom

Unit cell a=5.0086 b=5.0086 c=4.9658 alpha=90.00 beta=90.00 gamma=90.00
With the nearest neighbours (Å) after each atom.
Space group P4/mmm (No. 123)
Unique sites:
1 Sr 0.0000 0.0000 0.0000 [1 per cell]  8 Ho 3.53, 4 In 3.54
2 Ho 0.0000 0.5000 0.5000 [2 per cell]  4 In 3.53, 4 Sr 3.53, 4 Ho 3.54
3 In 0.5000 0.5000 0.0000 [1 per cell]  8 Ho 3.53, 4 Sr 3.54



Entry B
# SrHo2In

A relaxed structure of SrHo2In (GGA-PBE, Alexandria).

Summary:
**M_tot**: 0.00 μB/atom

Unit cell a=3.6638 b=3.6638 c=35.7941 alpha=90.00 beta=90.00 gamma=120.00
With the nearest neighbours (Å) after each atom.
Space group R-3m (No. 166, hexagonal axes)
Unique sites:
1 Sr 0.0000 0.0000 0.0000 [3 per cell]  2 Ho 3.58, 6 Sr 3.66
2 Ho 0.0000 0.0000 0.1000 [6 per cell]  3 In 3.19
3 In 0.0000 0.0000 0.5000 [3 per cell]  6 Ho 3.19



Which of them is the most stable? Correct choice: entry A.